[1]
A relaxed structure of V5NiS8. Source: the Alexandria database, functional GGA-PBE.

POSCAR file:
```
V5NiS8
1.0
0.000 4.916 4.916
4.916 0.000 4.916
4.916 4.916 0.000
V Ni S
5 1 8
Direct
0.000 0.000 0.000
0.392 0.392 0.392
0.392 0.392 0.824
0.392 0.824 0.392
0.824 0.392 0.392
0.750 0.750 0.750
0.124 0.625 0.625
0.136 0.136 0.136
0.136 0.136 0.593
0.136 0.593 0.136
0.593 0.136 0.136
0.625 0.124 0.625
0.625 0.625 0.124
0.625 0.625 0.625
```

E_form (uncorrected)	-0.83	eV/atom
DFT total energy	-0.504	Ry per atom
volume	238	Å³/cell
M_tot	7.07	μB/f.u.
space-group type	No. 216

=====

[2]
A relaxed structure of BeOs2Ru. Source: the Alexandria database, functional GGA-PBE.

POSCAR file:
```
BeOs2Ru
1.0
1.380 -2.284 0.000
1.380 2.284 0.000
0.000 0.000 8.476
Be Os Ru
1 2 1
Direct
0.000 0.000 0.000
0.500 0.500 0.228
0.500 0.500 0.772
0.000 0.000 0.500
```

DFT total energy	-0.624	Ry per atom
volume	53	Å³/cell
M_tot	0.93	μB/f.u.
calculated formation energy	0.380	eV per atom
space-group type	No. 65

=====

[3]
A relaxed structure of La2NdZn2Ga2. Source: the Alexandria database, functional GGA-PBE.

POSCAR file:
```
La2NdZn2Ga2
1.0
2.232 1.289 9.528
-2.232 1.289 9.528
0.000 -2.578 9.528
La Nd Zn Ga
2 1 2 2
Direct
0.137 0.137 0.137
0.863 0.863 0.863
0.000 0.000 0.000
0.403 0.403 0.403
0.597 0.597 0.597
0.263 0.263 0.263
0.737 0.737 0.737
```

DFT total energy	-0.275	Ry per atom
volume	164	Å³/cell
M_tot	0.00	μB/f.u.
calculated formation energy	-0.431	eV per atom
space-group type	No. 166

=====

[4]
A relaxed structure of Ba2CaMg3F12. Source: the Alexandria database, functional GGA-PBE.

POSCAR file:
```
Ba2CaMg3F12
1.0
3.646 2.105 5.675
-3.646 2.105 5.675
0.000 -4.211 5.675
Ba Ca Mg F
2 1 3 12
Direct
0.113 0.113 0.113
0.887 0.887 0.887
0.500 0.500 0.500
0.000 0.500 0.500
0.500 0.000 0.500
0.500 0.500 0.000
0.085 0.636 0.636
0.221 0.221 0.622
0.221 0.622 0.221
0.364 0.364 0.915
0.364 0.915 0.364
0.378 0.779 0.779
0.622 0.221 0.221
0.636 0.085 0.636
0.636 0.636 0.085
0.779 0.378 0.779
0.779 0.779 0.378
0.915 0.364 0.364
```

E_form (uncorrected)	-3.64	eV/atom
DFT total energy	-0.403	Ry per atom
volume	261	Å³/cell
M_tot	0.00	μB/f.u.
space-group type	No. 166

=====

[5]
A relaxed structure of CaAlIn2. Source: the Alexandria database, functional GGA-PBE.

POSCAR file:
```
CaAlIn2
1.0
4.825 -1.791 0.000
4.825 1.791 0.000
-1.267 0.000 5.961
Ca Al In
1 1 2
Direct
0.000 0.000 0.000
0.500 0.500 0.500
0.240 0.240 0.713
0.760 0.760 0.287
```

DFT total energy	-0.217	Ry per atom
volume	103	Å³/cell
M_tot	0.00	μB/f.u.
calculated formation energy	-0.148	eV per atom
space-group type	No. 12

=====

[6]
A relaxed structure of Sr2ZrTe. Source: the Alexandria database, functional GGA-PBE.

POSCAR file:
```
Sr2ZrTe
1.0
2.024 1.169 10.517
-2.024 1.169 10.517
0.000 -2.338 10.517
Sr Zr Te
2 1 1
Direct
0.000 0.000 0.000
0.216 0.216 0.216
0.756 0.756 0.756
0.477 0.477 0.477
```

E_form (uncorrected)	-0.32	eV/atom
DFT total energy	-0.300	Ry per atom
volume	149	Å³/cell
M_tot	0.53	μB/f.u.
space-group type	No. 160

=====

[7]
A relaxed structure of K3AgO2. Source: the Alexandria database, functional GGA-PBE.

POSCAR file:
```
K3AgO2
1.0
12.498 0.000 0.000
0.000 12.534 0.000
0.000 0.000 13.972
K Ag O
48 16 32
Direct
0.007 0.206 0.279
0.010 0.004 0.571
0.016 0.205 0.994
0.024 0.281 0.505
0.051 0.250 0.755
0.059 0.422 0.135
0.196 0.699 0.858
0.200 0.804 0.643
0.213 0.513 0.510
0.221 0.978 0.991
0.239 0.960 0.251
0.246 0.461 0.762
0.254 0.539 0.262
0.261 0.040 0.751
0.279 0.022 0.491
0.287 0.487 0.010
0.300 0.196 0.143
0.304 0.301 0.358
0.441 0.578 0.635
0.449 0.750 0.255
0.476 0.719 0.005
0.484 0.795 0.494
0.490 0.996 0.071
0.493 0.794 0.779
0.507 0.294 0.721
0.510 0.496 0.429
0.516 0.295 0.006
0.524 0.219 0.495
0.551 0.250 0.245
0.559 0.078 0.865
0.696 0.801 0.142
0.700 0.696 0.357
0.713 0.987 0.490
0.721 0.522 0.009
0.739 0.540 0.749
0.746 0.039 0.238
0.754 0.961 0.738
0.761 0.460 0.249
0.779 0.478 0.509
0.787 0.013 0.990
0.800 0.304 0.857
0.804 0.199 0.642
0.941 0.922 0.365
0.949 0.750 0.745
0.976 0.781 0.995
0.984 0.705 0.506
0.990 0.504 0.929
0.993 0.706 0.221
0.000 0.498 0.672
0.000 0.998 0.828
0.001 0.990 0.145
0.226 0.733 0.095
0.232 0.757 0.416
0.268 0.243 0.916
0.274 0.267 0.595
0.499 0.010 0.645
0.500 0.002 0.328
0.500 0.502 0.172
0.501 0.510 0.855
0.726 0.767 0.905
0.732 0.743 0.584
0.768 0.257 0.084
0.774 0.233 0.405
0.999 0.490 0.355
0.113 0.616 0.071
0.115 0.882 0.825
0.116 0.614 0.673
0.118 0.380 0.341
0.119 0.103 0.140
0.121 0.873 0.445
0.150 0.357 0.908
0.157 0.153 0.609
0.343 0.847 0.109
0.350 0.643 0.408
0.379 0.127 0.945
0.381 0.897 0.640
0.382 0.620 0.841
0.384 0.386 0.173
0.385 0.118 0.325
0.387 0.384 0.571
0.613 0.884 0.929
0.615 0.618 0.175
0.616 0.886 0.327
0.618 0.120 0.659
0.619 0.397 0.860
0.621 0.627 0.555
0.650 0.143 0.092
0.657 0.347 0.391
0.843 0.653 0.891
0.850 0.857 0.592
0.879 0.373 0.055
0.881 0.603 0.360
0.882 0.880 0.159
0.884 0.114 0.827
0.885 0.382 0.675
0.887 0.116 0.429
```

E_form (uncorrected)	-0.96	eV/atom
DFT total energy	-0.267	Ry per atom
volume	2189	Å³/cell
M_tot	0.03	μB/f.u.
space-group type	No. 19

=====

[8]
A relaxed structure of SrDy4Pd5. Source: the Alexandria database, functional GGA-PBE.

POSCAR file:
```
SrDy4Pd5
1.0
3.528 0.000 0.000
0.000 3.528 0.000
0.000 0.000 18.049
Sr Dy Pd
1 4 5
Direct
0.000 0.000 0.000
0.000 0.000 0.207
0.000 0.000 0.403
0.000 0.000 0.597
0.000 0.000 0.793
0.500 0.500 0.123
0.500 0.500 0.308
0.500 0.500 0.500
0.500 0.500 0.692
0.500 0.500 0.877
```

DFT total energy	-0.400	Ry per atom
volume	225	Å³/cell
M_tot	0.00	μB/f.u.
calculated formation energy	-0.833	eV per atom
space-group type	No. 123